No. 1
Computed, not measured: a relaxed Al4P4H11C3NO18 crystal at the PBE level of DFT.

- space group = No. 2
- DFT total energy (eV per cell) = -532.0

a = 9.6310 Å, b = 9.8446 Å, c = 10.7784 Å
α = 105.24°, β = 106.27°, γ = 88.74°
Last column: nearest neighbours and their distance in Å.
Element x y z (fractional)
P1 0.4755 0.2818 0.0961  4 O 1.54-1.56
P2 0.2278 0.8179 0.1382  4 O 1.52-1.56
P3 0.2006 0.9643 0.6507  4 O 1.53-1.56
P4 0.0289 0.4979 0.7939  4 O 1.53-1.56
P5 0.5245 0.7182 0.9039  4 O 1.54-1.56
P6 0.7722 0.1821 0.8618  4 O 1.52-1.56
P7 0.7994 0.0357 0.3493  4 O 1.53-1.56
P8 0.9711 0.5021 0.2061  4 O 1.53-1.56
O1 0.5544 0.7869 0.0576  1 P 1.56
O2 0.3620 0.6692 0.8387  1 P 1.55
O3 0.6354 0.0484 0.0520  1 H 1.01
O4 0.3646 0.9516 0.9480  1 H 1.01
O5 0.2863 0.6717 0.1515  1 P 1.56
O6 0.4342 0.1748 0.1650  1 P 1.55
O7 0.6380 0.3308 0.1613  1 P 1.55
O8 0.8500 0.1928 0.0108  1 P 1.55
O9 0.4456 0.2131 0.9424  1 P 1.56
O10 0.8750 0.8926 0.3311  1 P 1.56
O11 0.1669 0.8921 0.4995  1 P 1.54
O12 0.1403 0.8691 0.7192  1 P 1.54
O13 0.2213 0.1796 0.9896  1 H 1.63
O14 0.6043 0.5812 0.8762  1 P 1.54
O15 0.8597 0.1309 0.2808  1 P 1.54
O16 0.1500 0.8072 0.9892  1 P 1.55
O17 0.0811 0.6132 0.7439  1 P 1.53
O18 0.1544 0.4597 0.9042  1 P 1.56
O19 0.8331 0.1079 0.5005  1 P 1.54
O20 0.9189 0.3868 0.2561  1 P 1.53
O21 0.3567 0.9253 0.1956  1 P 1.52
O22 0.7137 0.3283 0.8485  1 P 1.56
O23 0.1250 0.1074 0.6689  1 P 1.56
O24 0.3638 0.9958 0.7084  1 P 1.53
O25 0.6433 0.0747 0.8044  1 P 1.52
O26 0.5658 0.8252 0.8350  1 P 1.55
O27 0.1159 0.8560 0.2183  1 P 1.54
O28 0.8841 0.1440 0.7817  1 P 1.54
O29 0.9816 0.3615 0.6783  1 P 1.55
O30 0.8456 0.5403 0.0958  1 P 1.56
O31 0.3957 0.4188 0.1238  1 P 1.54
O32 0.7787 0.8204 0.0104  1 H 1.63
O33 0.0998 0.4508 0.1504  1 P 1.54
O34 0.6362 0.0042 0.2916  1 P 1.53
O35 0.9002 0.5492 0.8496  1 P 1.54
O36 0.0184 0.6385 0.3217  1 P 1.55
C1 0.5702 0.8006 0.4931  3 H 1.10
C2 0.2612 0.4005 0.4935  3 H 1.10
C3 0.4298 0.1994 0.5069  3 H 1.10
C4 0.3942 0.3456 0.5765  1 H 1.10
C5 0.6058 0.6544 0.4235  1 H 1.10
C6 0.7388 0.5995 0.5065  3 H 1.10
H1 0.7064 0.9724 0.0420  1 O 1.01
H2 0.7120 0.7267 0.3022  1 N 1.04
H3 0.7625 0.4934 0.4551  1 C 1.10
H4 0.4635 0.3158 0.7717  1 N 1.03
H5 0.3486 0.4439 0.7592  1 N 1.04
H6 0.5365 0.6842 0.2283  1 N 1.03
H7 0.6632 0.8765 0.5229  1 C 1.10
H8 0.5440 0.7972 0.5849  1 C 1.10
H9 0.4882 0.4202 0.6043  1 C 1.10
H10 0.2794 0.4043 0.3984  1 C 1.10
H11 0.5224 0.1596 0.5706  1 C 1.10
H12 0.6514 0.5561 0.2408  1 N 1.04
H13 0.4776 0.8404 0.4294  1 C 1.10
H14 0.4560 0.2028 0.4151  1 C 1.10
H15 0.2880 0.2733 0.6978  1 N 1.04
H16 0.5118 0.5798 0.3957  1 C 1.10
H17 0.3368 0.1235 0.4771  1 C 1.10
H18 0.7206 0.5957 0.6016  1 C 1.10
H19 0.1645 0.3301 0.4682  1 C 1.10
H20 0.2936 0.0276 0.9580  1 O 1.01
H21 0.2375 0.5066 0.5449  1 C 1.10
H22 0.8355 0.6699 0.5318  1 C 1.10
Al1 0.2032 0.7702 0.8383  4 O 1.78-1.84
Al2 0.7968 0.2298 0.1617  4 O 1.78-1.84
Al3 0.0464 0.8208 0.3411  4 O 1.75-1.77
Al4 0.2281 0.4928 0.0781  4 O 1.74-1.76
Al5 0.7719 0.5072 0.9219  4 O 1.74-1.76
Al6 0.9536 0.1792 0.6589  4 O 1.75-1.77
Al7 0.5039 0.0189 0.8688  6 O 1.83-2.00
Al8 0.4961 0.9811 0.1312  6 O 1.83-2.00
N1 0.6286 0.6556 0.2901  3 H 1.03-1.04
N2 0.3714 0.3444 0.7099  3 H 1.03-1.04

=====

No. 2
Computed, not measured: a relaxed Al3P3H9C3NO14 crystal at the PBE level of DFT.

- space group = No. 9
- DFT total energy (eV per cell) = -435.6

a = 8.7599 Å, b = 9.1143 Å, c = 9.1143 Å
α = 91.85°, β = 93.78°, γ = 86.22°
Last column: nearest neighbours and their distance in Å.
Element x y z (fractional)
H1 0.3831 0.2554 0.3473  1 C 1.10
H2 0.3822 0.8927 0.5213  1 C 1.09
H3 0.8822 0.4787 0.1073  1 C 1.09
H4 0.7587 0.5511 0.9606  1 C 1.10
H5 0.3495 0.9103 0.3257  1 C 1.10
H6 0.8112 0.3731 0.6693  1 O 0.98
H7 0.3112 0.3307 0.6269  1 O 0.98
H8 0.9617 0.7867 0.8675  1 C 1.10
H9 0.7311 0.2948 0.7959  1 O 1.00
H10 0.5869 0.2371 0.3314  1 C 1.09
H11 0.8495 0.6743 0.0897  1 C 1.10
H12 0.0869 0.6686 0.7629  1 C 1.09
H13 0.2311 0.2041 0.7052  1 O 1.00
H14 0.4617 0.1325 0.2133  1 C 1.10
H15 0.2587 0.0394 0.4489  1 C 1.10
H16 0.8831 0.6527 0.7446  1 C 1.10
H17 0.1065 0.3956 0.0461  1 C 1.10
H18 0.6065 0.9539 0.6044  1 C 1.10
O1 0.7258 0.1237 0.5351  1 C 1.27
O2 0.4710 0.4206 0.0703  1 P 1.52
O3 0.3906 0.7238 0.7451  1 P 1.54
O4 0.2425 0.9199 0.9480  1 P 1.55
O5 0.3349 0.5247 0.5541  1 P 1.56
O6 0.8906 0.2549 0.2762  1 P 1.54
O7 0.3039 0.1867 0.9762  1 P 1.53
O8 0.5994 0.5688 0.2715  1 P 1.55
O9 0.5940 0.2080 0.8864  1 P 1.54
O10 0.4617 0.6998 0.0613  1 P 1.54
O11 0.0940 0.1136 0.7920  1 P 1.54
O12 0.8349 0.4459 0.4753  1 P 1.56
O13 0.8115 0.7572 0.4193  1 P 1.55
O14 0.8306 0.3041 0.7502  2 H 0.98-1.00
O15 0.0091 0.2228 0.5369  1 P 1.52
O16 0.9710 0.9297 0.5794  1 P 1.52
O17 0.0966 0.4146 0.3737  1 P 1.55
O18 0.8039 0.0238 0.8133  1 P 1.53
O19 0.5091 0.4631 0.7772  1 P 1.52
O20 0.5623 0.9336 0.8980  1 P 1.54
O21 0.0994 0.7285 0.4312  1 P 1.55
O22 0.3306 0.2498 0.6959  2 H 0.98-1.00
O23 0.5966 0.6263 0.5854  1 P 1.55
O24 0.9617 0.9387 0.3002  1 P 1.54
O25 0.7425 0.0520 0.0801  1 P 1.55
O26 0.0623 0.1020 0.0664  1 P 1.54
O27 0.3115 0.5807 0.2428  1 P 1.55
O28 0.2258 0.4649 0.8763  1 C 1.27
P1 0.9603 0.8417 0.4354  4 O 1.52-1.55
P2 0.9586 0.3311 0.4169  4 O 1.52-1.56
P3 0.1754 0.0818 0.9441  4 O 1.53-1.55
P4 0.4586 0.5831 0.6689  4 O 1.52-1.56
P5 0.4603 0.5646 0.1583  4 O 1.52-1.55
P6 0.6754 0.0559 0.9182  4 O 1.53-1.55
Al1 0.9112 0.1083 0.6712  6 O 1.86-2.00
Al2 0.9143 0.0835 0.1811  4 O 1.74-1.77
Al3 0.4112 0.3288 0.8917  6 O 1.86-2.00
Al4 0.4143 0.8189 0.9165  4 O 1.74-1.77
Al5 0.7094 0.6009 0.4334  4 O 1.74-1.77
Al6 0.2094 0.5666 0.3991  4 O 1.74-1.77
C1 0.9816 0.6753 0.8211  3 H 1.09-1.10
C2 0.3640 0.9704 0.4317  3 H 1.09-1.10
C3 0.1120 0.4718 0.9558  1 H 1.10
C4 0.4816 0.1789 0.3247  3 H 1.09-1.10
C5 0.6120 0.0442 0.5282  1 H 1.10
C6 0.8640 0.5683 0.0296  3 H 1.09-1.10
N1 0.4936 0.0624 0.4312  3 C 1.32-1.46
N2 0.9936 0.5688 0.9376  3 C 1.32-1.46

=====

- What is the formula in the first record?
  Al4P4H11C3NO18

=====

- The lowest DFT total energy belongs to which entry?
  Al4P4H11C3NO18

=====

- Among the records above, which one has the highest DFT total energy?
  Al3P3H9C3NO14

=====

- The highest DFT total energy belongs to which entry?
  Al3P3H9C3NO14